1.
{
  "formula": "Zr2TlCl",
  "functional": "PBE",
  "state": "optimized geometry",
  "cell": [[2.222, -2.227, 0.000], [2.222, 2.227, 0.000], [0.000, 0.000, 10.688]],
  "species": ["Zr", "Zr", "Tl", "Cl"],
  "frac_coords": [[0.000, 0.000, 0.000], [0.500, 0.500, 0.216], [0.000, 0.000, 0.463], [0.500, 0.500, 0.844]],
  "m_tot_mub_per_fu": 0.000,
  "total_energy_ev_per_atom": -5.745,
  "polymorph_energy_mev_per_atom": 127.4,
  "spacegroup": "No. 35",
  "dos_at_fermi_per_ev_cell": 1.69,
  "formation_energy_uncorrected_ev_per_fu": -1.67
}

=====

2.
{
  "formula": "Zr2TlCl",
  "functional": "PBE",
  "state": "optimized geometry",
  "cell": [[1.620, 0.935, 9.376], [-1.620, 0.935, 9.376], [0.000, -1.871, 9.376]],
  "species": ["Zr", "Zr", "Tl", "Cl"],
  "frac_coords": [[0.243, 0.243, 0.243], [0.757, 0.757, 0.757], [0.000, 0.000, 0.000], [0.500, 0.500, 0.500]],
  "m_tot_mub_per_fu": 0.000,
  "total_energy_ev_per_atom": -5.698,
  "polymorph_energy_mev_per_atom": 175.0,
  "spacegroup": "No. 166",
  "dos_at_fermi_per_ev_cell": 2.96,
  "formation_energy_uncorrected_ev_per_fu": -1.48
}

=====

3.
{
  "formula": "Zr2TlCl",
  "functional": "PBE",
  "state": "optimized geometry",
  "cell": [[-1.621, 2.502, 5.594], [1.621, -2.502, 5.594], [1.621, 2.502, -5.594]],
  "species": ["Zr", "Zr", "Tl", "Cl"],
  "frac_coords": [[0.000, 0.000, 0.000], [0.764, 0.264, 0.500], [0.457, 0.457, 0.000], [0.190, 0.690, 0.500]],
  "m_tot_mub_per_fu": 0.000,
  "total_energy_ev_per_atom": -5.548,
  "polymorph_energy_mev_per_atom": 324.2,
  "spacegroup": "No. 44",
  "dos_at_fermi_per_ev_cell": 2.96,
  "formation_energy_uncorrected_ev_per_fu": -0.88
}

=====

4.
{
  "formula": "ZrTl3Cl6",
  "functional": "PBE",
  "state": "optimized geometry",
  "cell": [[7.469, 0.000, 0.000], [0.000, 8.021, 0.000], [-7.337, 0.000, 10.843]],
  "species": ["Zr", "Zr", "Tl", "Tl", "Tl", "Tl", "Tl", "Tl", "Cl", "Cl", "Cl", "Cl", "Cl", "Cl", "Cl", "Cl", "Cl", "Cl", "Cl", "Cl"],
  "frac_coords": [[0.000, 0.000, 0.000], [0.000, 0.500, 0.500], [0.280, 0.078, 0.752], [0.280, 0.422, 0.252], [0.500, 0.000, 0.500], [0.500, 0.500, 0.000], [0.720, 0.578, 0.748], [0.720, 0.922, 0.248], [0.097, 0.041, 0.220], [0.097, 0.459, 0.720], [0.215, 0.728, 0.064], [0.215, 0.772, 0.564], [0.339, 0.165, 0.056], [0.339, 0.335, 0.556], [0.661, 0.665, 0.444], [0.661, 0.835, 0.944], [0.785, 0.228, 0.436], [0.785, 0.272, 0.936], [0.903, 0.541, 0.280], [0.903, 0.959, 0.780]],
  "m_tot_mub_per_fu": 1.006,
  "total_energy_ev_per_atom": -3.956,
  "polymorph_energy_mev_per_atom": 0.0,
  "spacegroup": "No. 14",
  "dos_at_fermi_per_ev_cell": 12.22,
  "formation_energy_uncorrected_ev_per_fu": -12.84
}

=====

5.
{
  "formula": "Zr2TlCl",
  "functional": "PBE",
  "state": "optimized geometry",
  "cell": [[3.376, 0.000, 0.000], [0.000, 3.839, 0.000], [0.000, 0.000, 7.146]],
  "species": ["Zr", "Zr", "Tl", "Cl"],
  "frac_coords": [[0.000, 0.000, 0.000], [0.500, 0.500, 0.262], [0.500, 0.500, 0.757], [0.000, 0.000, 0.388]],
  "m_tot_mub_per_fu": 0.000,
  "total_energy_ev_per_atom": -5.643,
  "polymorph_energy_mev_per_atom": 229.6,
  "spacegroup": "No. 25",
  "dos_at_fermi_per_ev_cell": 3.15,
  "formation_energy_uncorrected_ev_per_fu": -1.26
}

=====

6.
{
  "formula": "ZrTlCl4",
  "functional": "PBE",
  "state": "optimized geometry",
  "cell": [[10.360, 0.000, 0.000], [0.000, 10.360, 0.000], [0.000, 0.000, 3.421]],
  "species": ["Zr", "Zr", "Tl", "Tl", "Cl", "Cl", "Cl", "Cl", "Cl", "Cl", "Cl", "Cl"],
  "frac_coords": [[0.250, 0.750, 0.000], [0.750, 0.250, 0.000], [0.250, 0.250, 0.068], [0.750, 0.750, 0.932], [0.038, 0.750, 0.333], [0.250, 0.538, 0.667], [0.250, 0.962, 0.667], [0.462, 0.750, 0.333], [0.538, 0.250, 0.667], [0.750, 0.038, 0.333], [0.750, 0.462, 0.333], [0.962, 0.250, 0.667]],
  "m_tot_mub_per_fu": 0.207,
  "total_energy_ev_per_atom": -4.414,
  "polymorph_energy_mev_per_atom": 0.0,
  "spacegroup": "No. 129",
  "dos_at_fermi_per_ev_cell": 2.85,
  "formation_energy_uncorrected_ev_per_fu": -8.18
}

=====

7.
{
  "formula": "Zr2TlCl",
  "functional": "PBE",
  "state": "optimized geometry",
  "cell": [[5.901, -1.606, 0.000], [5.901, 1.606, 0.000], [-1.402, 0.000, 5.076]],
  "species": ["Zr", "Zr", "Tl", "Cl"],
  "frac_coords": [[0.000, 0.000, 0.000], [0.723, 0.723, 0.102], [0.545, 0.545, 0.508], [0.314, 0.314, 0.781]],
  "m_tot_mub_per_fu": 0.000,
  "total_energy_ev_per_atom": -5.567,
  "polymorph_energy_mev_per_atom": 305.7,
  "spacegroup": "No. 8",
  "dos_at_fermi_per_ev_cell": 2.27,
  "formation_energy_uncorrected_ev_per_fu": -0.96
}

=====

8.
{
  "formula": "ZrTl3Cl7",
  "functional": "PBE",
  "state": "optimized geometry",
  "cell": [[5.374, -4.899, 0.000], [5.374, 4.899, 0.000], [-4.928, 0.000, 6.686]],
  "species": ["Zr", "Tl", "Tl", "Tl", "Cl", "Cl", "Cl", "Cl", "Cl", "Cl", "Cl"],
  "frac_coords": [[0.000, 0.000, 0.000], [0.281, 0.829, 0.555], [0.558, 0.558, 0.143], [0.829, 0.281, 0.555], [0.026, 0.348, 0.297], [0.182, 0.182, 0.903], [0.183, 0.689, 0.850], [0.348, 0.026, 0.297], [0.689, 0.183, 0.850], [0.720, 0.720, 0.638], [0.842, 0.842, 0.129]],
  "m_tot_mub_per_fu": 0.000,
  "total_energy_ev_per_atom": -3.945,
  "spacegroup": "No. 8",
  "dos_at_fermi_per_ev_cell": 0.00,
  "formation_energy_uncorrected_ev_per_fu": -14.82
}

=====

9.
{
  "formula": "Zr2TlCl",
  "functional": "PBE",
  "state": "optimized geometry",
  "cell": [[3.234, 0.000, 0.000], [0.000, 4.964, 0.000], [-1.598, 0.000, 5.700]],
  "species": ["Zr", "Zr", "Tl", "Cl"],
  "frac_coords": [[0.000, 0.000, 0.000], [0.343, 0.500, 0.687], [0.736, 0.000, 0.478], [0.023, 0.500, 0.050]],
  "m_tot_mub_per_fu": 0.000,
  "total_energy_ev_per_atom": -5.724,
  "polymorph_energy_mev_per_atom": 148.2,
  "spacegroup": "No. 6",
  "dos_at_fermi_per_ev_cell": 1.23,
  "formation_energy_uncorrected_ev_per_fu": -1.59
}

=====

10.
{
  "formula": "Zr2TlCl",
  "functional": "PBE",
  "state": "optimized geometry",
  "cell": [[5.135, 0.000, 0.000], [0.000, 5.135, 0.000], [0.000, 0.000, 3.249]],
  "species": ["Zr", "Zr", "Tl", "Cl"],
  "frac_coords": [[0.000, 0.500, 0.000], [0.500, 0.000, 0.000], [0.000, 0.000, 0.500], [0.500, 0.500, 0.500]],
  "m_tot_mub_per_fu": 0.000,
  "total_energy_ev_per_atom": -5.483,
  "polymorph_energy_mev_per_atom": 390.0,
  "spacegroup": "No. 123",
  "dos_at_fermi_per_ev_cell": 3.08,
  "formation_energy_uncorrected_ev_per_fu": -0.62
}

=====

11.
{
  "formula": "ZrTl2Cl5",
  "functional": "PBE",
  "state": "optimized geometry",
  "cell": [[5.491, -4.098, 0.000], [5.491, 4.098, 0.000], [-3.692, 0.000, 6.484]],
  "species": ["Zr", "Tl", "Tl", "Cl", "Cl", "Cl", "Cl", "Cl"],
  "frac_coords": [[0.000, 0.000, 0.000], [0.246, 0.246, 0.682], [0.763, 0.763, 0.207], [0.256, 0.841, 0.278], [0.316, 0.885, 0.870], [0.774, 0.774, 0.698], [0.841, 0.256, 0.278], [0.885, 0.316, 0.870]],
  "m_tot_mub_per_fu": 1.029,
  "total_energy_ev_per_atom": -4.104,
  "polymorph_energy_mev_per_atom": 35.4,
  "spacegroup": "No. 8",
  "formation_energy_uncorrected_ev_per_fu": -10.32
}

=====

12.
{
  "formula": "Zr2TlCl",
  "functional": "PBE",
  "state": "optimized geometry",
  "cell": [[-2.168, 2.168, 10.371], [2.168, -2.168, 10.371], [2.168, 2.168, -10.371]],
  "species": ["Zr", "Zr", "Zr", "Zr", "Tl", "Tl", "Cl", "Cl"],
  "frac_coords": [[0.123, 0.625, 0.998], [0.375, 0.373, 0.498], [0.627, 0.125, 0.002], [0.875, 0.877, 0.502], [0.000, 0.000, 0.000], [0.750, 0.250, 0.500], [0.250, 0.750, 0.500], [0.500, 0.500, 0.000]],
  "m_tot_mub_per_fu": 0.000,
  "total_energy_ev_per_atom": -5.236,
  "polymorph_energy_mev_per_atom": 636.3,
  "spacegroup": "No. 122",
  "dos_at_fermi_per_ev_cell": 2.00,
  "formation_energy_uncorrected_ev_per_fu": 0.36
}